The following is a DFT calculation (GGA-PBE) of a relaxed FeHg2PRh crystal.

- E_tot (eV per atom) = -3.262
- formation enthalpy at 0 K (eV/atom) = 1.104
- theoretical density (g cm⁻³) = 8.79

The structure in extended XYZ format:
```
5
Lattice="4.9417 0.0000 0.0000 0.0000 4.5689 0.0000 0.0000 0.0000 4.9417" Properties=species:S:1:pos:R:3 pbc="T T T"
Hg 0.0000 0.0000 2.4709
Hg 2.4709 0.0000 0.0000
Rh 0.0000 2.2845 0.0000
P 2.4709 2.2845 2.4709
Fe 0.0000 0.0000 0.0000
```